No. 1
A plane-wave DFT calculation with PBE was carried out for a relaxed structure of Ce2NdTl2Zn2.

- Space-group type: R-3m, No. 166
- DFT total energy: -3.596 eV per atom
- Total magnetization: 1.84 μB per cell

abc: 9.836 9.836 9.836
angles: 27.12 27.12 27.12
Sites, in units of the cell vectors:
1 Ce 0.145 0.145 0.145
2 Ce 0.855 0.855 0.855
3 Nd 0.000 0.000 0.000
4 Tl 0.267 0.267 0.267
5 Tl 0.733 0.733 0.733
6 Zn 0.423 0.423 0.423
7 Zn 0.577 0.577 0.577


No. 2
A plane-wave DFT calculation with PBE was carried out for a relaxed structure of CeNd12Tm3.

- Space-group type: P4/mmm, No. 123
- DFT total energy: -4.754 eV per atom
- Total magnetization: 1.11 μB per cell

abc: 5.145 5.145 20.545
angles: 90.00 90.00 90.00
Sites, in units of the cell vectors:
1 Ce 0.000 0.000 0.000
2 Nd 0.000 0.500 0.125
3 Nd 0.000 0.500 0.375
4 Nd 0.000 0.500 0.625
5 Nd 0.000 0.500 0.875
6 Nd 0.500 0.000 0.125
7 Nd 0.500 0.000 0.375
8 Nd 0.500 0.000 0.625
9 Nd 0.500 0.000 0.875
10 Nd 0.500 0.500 0.000
11 Nd 0.500 0.500 0.252
12 Nd 0.500 0.500 0.500
13 Nd 0.500 0.500 0.748
14 Tm 0.000 0.000 0.251
15 Tm 0.000 0.000 0.500
16 Tm 0.000 0.000 0.749


No. 3
A plane-wave DFT calculation with PBE was carried out for a relaxed structure of CeNdTm14.

- Space-group type: Amm2, No. 38
- DFT total energy: -4.514 eV per atom
- Total magnetization: 0.57 μB per cell

abc: 10.973 6.853 6.853
angles: 71.57 90.00 90.00
Sites, in units of the cell vectors:
1 Ce 0.000 0.000 0.000
2 Nd 0.000 0.562 0.562
3 Tm 0.000 0.077 0.490
4 Tm 0.000 0.490 0.077
5 Tm 0.237 0.765 0.765
6 Tm 0.252 0.275 0.699
7 Tm 0.252 0.699 0.275
8 Tm 0.268 0.212 0.212
9 Tm 0.500 0.420 0.420
10 Tm 0.500 0.491 0.904
11 Tm 0.500 0.904 0.491
12 Tm 0.500 0.970 0.970
13 Tm 0.732 0.212 0.212
14 Tm 0.748 0.275 0.699
15 Tm 0.748 0.699 0.275
16 Tm 0.763 0.765 0.765


No. 4
A plane-wave DFT calculation with PBE was carried out for a relaxed structure of Ce2NdTm.

- Space-group type: P4/mmm, No. 123
- DFT total energy: -5.169 eV per atom
- Total magnetization: 1.66 μB per cell

abc: 4.914 4.914 5.104
angles: 90.00 90.00 90.00
Sites, in units of the cell vectors:
1 Ce 0.000 0.500 0.000
2 Ce 0.500 0.000 0.000
3 Nd 0.000 0.000 0.500
4 Tm 0.500 0.500 0.500


No. 5
A plane-wave DFT calculation with PBE was carried out for a relaxed structure of CeNd4Tm5.

- Space-group type: C2/m, No. 12
- DFT total energy: -4.494 eV per atom
- Total magnetization: 1.17 μB per cell

abc: 8.151 8.151 9.817
angles: 126.50 126.50 41.62
Sites, in units of the cell vectors:
1 Ce 0.000 0.000 0.000
2 Nd 0.247 0.247 0.166
3 Nd 0.259 0.259 0.598
4 Nd 0.741 0.741 0.402
5 Nd 0.753 0.753 0.834
6 Tm 0.071 0.071 0.725
7 Tm 0.425 0.425 0.081
8 Tm 0.500 0.500 0.500
9 Tm 0.575 0.575 0.919
10 Tm 0.929 0.929 0.275


No. 6
A plane-wave DFT calculation with PBE was carried out for a relaxed structure of CeNd7Tm4.

- Space-group type: C2/m, No. 12
- DFT total energy: -4.625 eV per atom
- Total magnetization: 1.41 μB per cell

abc: 10.064 10.064 6.014
angles: 90.49 90.49 41.30
Sites, in units of the cell vectors:
1 Ce 0.000 0.000 0.000
2 Nd 0.000 0.000 0.500
3 Nd 0.187 0.187 0.751
4 Nd 0.289 0.289 0.256
5 Nd 0.464 0.464 0.247
6 Nd 0.536 0.536 0.753
7 Nd 0.711 0.711 0.744
8 Nd 0.813 0.813 0.249
9 Tm 0.130 0.596 0.754
10 Tm 0.404 0.870 0.246
11 Tm 0.596 0.130 0.754
12 Tm 0.870 0.404 0.246


No. 7
A plane-wave DFT calculation with PBE was carried out for a relaxed structure of CeNd3Tm3.

- Space-group type: C2/m, No. 12
- DFT total energy: -4.595 eV per atom
- Total magnetization: 2.53 μB per cell

abc: 8.110 8.110 7.191
angles: 90.00 90.00 89.84
Sites, in units of the cell vectors:
1 Ce 0.203 0.203 0.001
2 Ce 0.797 0.797 0.999
3 Nd 0.001 0.499 0.752
4 Nd 0.499 0.001 0.752
5 Nd 0.499 0.499 0.748
6 Nd 0.501 0.501 0.252
7 Nd 0.501 0.999 0.248
8 Nd 0.999 0.501 0.248
9 Tm 0.208 0.792 0.500
10 Tm 0.218 0.218 0.499
11 Tm 0.224 0.776 0.000
12 Tm 0.776 0.224 0.000
13 Tm 0.782 0.782 0.501
14 Tm 0.792 0.208 0.500


No. 8
A plane-wave DFT calculation with PBE was carried out for a relaxed structure of CeNd4Tm10.

- Space-group type: I4/mmm, No. 139
- DFT total energy: -4.382 eV per atom
- Total magnetization: 0.00 μB per cell

abc: 8.822 8.822 8.822
angles: 101.67 101.67 126.54
Sites, in units of the cell vectors:
1 Ce 0.000 0.000 0.000
2 Nd 0.226 0.226 0.452
3 Nd 0.226 0.774 0.000
4 Nd 0.774 0.226 0.000
5 Nd 0.774 0.774 0.548
6 Tm 0.089 0.295 0.794
7 Tm 0.250 0.750 0.500
8 Tm 0.295 0.089 0.794
9 Tm 0.295 0.501 0.206
10 Tm 0.499 0.705 0.794
11 Tm 0.501 0.295 0.206
12 Tm 0.705 0.499 0.794
13 Tm 0.705 0.911 0.206
14 Tm 0.750 0.250 0.500
15 Tm 0.911 0.705 0.206